P | Below is a relaxed Pm2ErMg4 crystal, with properties calculated at the PBE-GGA level.

Properties
Crystal system: tetragonal
Space group: I4/mmm

Cell lengths 5.4329, 5.4329, 8.2196 Å; angles 109.30, 109.30, 90.00 degrees
Closest atoms and distances in Å follow each position.
Positions (direct):
1 Mg 0.1134 0.6134 0.2268  2 Er 3.18, 1 Mg 3.30, 4 Pm 3.35-3.38
2 Mg 0.8866 0.3866 0.7732  2 Er 3.18, 1 Mg 3.30, 4 Pm 3.35-3.38
3 Mg 0.6134 0.1134 0.2268  2 Er 3.18, 1 Mg 3.30, 4 Pm 3.35-3.38
4 Mg 0.3866 0.8866 0.7732  2 Er 3.18, 1 Mg 3.30, 4 Pm 3.35-3.38
5 Pm 0.7478 0.7478 0.4956  8 Mg 3.35-3.38, 1 Er 3.67
6 Pm 0.2522 0.2522 0.5044  8 Mg 3.35-3.38, 1 Er 3.67
7 Er 0.0000 0.0000 0.0000  8 Mg 3.18


Q | Below is a relaxed Pm2ErMg4 crystal, with properties calculated at the PBE-GGA level.

Properties
Crystal system: tetragonal
Space group: I4/mmm

Cell lengths 5.5567, 5.5567, 9.0346 Å; angles 107.91, 107.91, 90.00 degrees
Closest atoms and distances in Å follow each position.
Positions (direct):
1 Pm 0.6067 0.6067 0.2133  5 Mg 3.28-3.38, 1 Pm 3.47
2 Pm 0.3933 0.3933 0.7867  5 Mg 3.28-3.38, 1 Pm 3.47
3 Mg 0.1856 0.1856 0.3711  1 Er 3.02, 1 Pm 3.38
4 Mg 0.8144 0.8144 0.6289  1 Er 3.02, 1 Pm 3.38
5 Mg 0.5000 0.0000 0.0000  2 Er 2.78
6 Mg 0.0000 0.5000 0.0000  2 Er 2.78
7 Er 0.0000 0.0000 0.0000  6 Mg 2.78-3.02


Which of them is the most stable, and which is the least stable? P and Q, in that order.


P | Below is a relaxed TbPmErMg crystal, with properties calculated at the PBE-GGA level.

Properties
Crystal system: cubic
Space group: F-43m

Cell lengths 5.5317, 5.5317, 5.5317 Å; angles 60.00, 60.00, 60.00 degrees
Closest atoms and distances in Å follow each position.
Positions (direct):
1 Mg 0.0000 0.0000 0.0000  4 Pm 3.39, 4 Tb 3.39
2 Pm 0.7500 0.7500 0.7500  4 Er 3.39, 4 Mg 3.39
3 Er 0.5000 0.5000 0.5000  4 Tb 3.39, 4 Pm 3.39
4 Tb 0.2500 0.2500 0.2500  4 Mg 3.39, 4 Er 3.39


Q | Below is a relaxed TbPmErMg crystal, with properties calculated at the PBE-GGA level.

Properties
Crystal system: tetragonal
Space group: P4mm

Cell lengths 3.6268, 3.6268, 9.1415 Å; angles 90.00, 90.00, 90.00 degrees
Closest atoms and distances in Å follow each position.
Positions (direct):
1 Er 0.5000 0.5000 0.3428  4 Mg 3.29, 4 Pm 3.56, 4 Er 3.63
2 Tb 0.5000 0.5000 0.8002  4 Mg 3.33, 4 Pm 3.58, 4 Tb 3.63
3 Mg 0.0000 0.0000 0.5683  4 Er 3.29, 4 Tb 3.33, 4 Mg 3.63
4 Pm 0.0000 0.0000 0.0733  4 Er 3.56, 4 Tb 3.58, 4 Pm 3.63


Which of them is the most stable, and which is the least stable? Q and P, in that order.


P | Below is a relaxed PrErMg crystal, with properties calculated at the PBE-GGA level.

Properties
Crystal system: tetragonal
Space group: P4/nmm

Cell lengths 4.6878, 4.6878, 8.5248 Å; angles 90.00, 90.00, 90.00 degrees
Closest atoms and distances in Å follow each position.
Positions (direct):
1 Pr 0.5000 0.0000 0.3415  5 Er 3.40-3.47, 4 Mg 3.74
2 Pr 0.0000 0.5000 0.6585  5 Er 3.40-3.47, 4 Mg 3.74
3 Er 0.0000 0.5000 0.2516  4 Mg 3.18, 5 Pr 3.40-3.47
4 Er 0.5000 0.0000 0.7484  4 Mg 3.18, 5 Pr 3.40-3.47
5 Mg 0.5000 0.5000 0.0000  4 Er 3.18, 4 Mg 3.31
6 Mg 0.0000 0.0000 0.0000  4 Er 3.18, 4 Mg 3.31


Q | Below is a relaxed PrErMg crystal, with properties calculated at the PBE-GGA level.

Properties
Crystal system: orthorhombic
Space group: Cmcm

Cell lengths 5.2918, 5.2660, 6.9910 Å; angles 112.11, 90.00, 90.00 degrees
Closest atoms and distances in Å follow each position.
Positions (direct):
1 Pr 0.2500 0.4098 0.3192  4 Mg 3.35-3.36, 2 Pr 3.53, 6 Er 3.54-3.73
2 Pr 0.7500 0.5902 0.6808  4 Mg 3.35-3.36, 2 Pr 3.53, 6 Er 3.54-3.73
3 Mg 0.2500 0.7499 0.9996  4 Er 3.33-3.34, 4 Pr 3.35-3.36
4 Mg 0.7500 0.2501 0.0004  4 Er 3.33-3.34, 4 Pr 3.35-3.36
5 Er 0.7500 0.9074 0.3146  4 Mg 3.33-3.34, 2 Pr 3.54, 2 Er 3.57
6 Er 0.2500 0.0926 0.6854  4 Mg 3.33-3.34, 2 Pr 3.54, 2 Er 3.57


Which of them is the most stable, and which is the least stable? Q and P, in that order.


P | Below is a relaxed PrErMg crystal, with properties calculated at the PBE-GGA level.

Properties
Crystal system: tetragonal
Space group: I4mm

Cell lengths 3.7427, 3.7427, 6.9798 Å; angles 105.55, 105.55, 90.00 degrees
Closest atoms and distances in Å follow each position.
Positions (direct):
1 Pr 0.0063 0.0063 0.0125  4 Mg 3.40, 4 Er 3.56, 4 Pr 3.74
2 Mg 0.6719 0.6719 0.3438  4 Er 3.28, 4 Pr 3.40
3 Er 0.3219 0.3219 0.6437  4 Mg 3.28, 4 Pr 3.56


Q | Below is a relaxed PrErMg crystal, with properties calculated at the PBE-GGA level.

Properties
Crystal system: trigonal
Space group: P3m1

Cell lengths 3.4397, 5.5070, 5.5070 Å; angles 120.00, 90.00, 90.00 degrees
Closest atoms and distances in Å follow each position.
Positions (direct):
1 Er 0.0616 0.0000 0.0000  3 Mg 3.29, 2 Er 3.44, 3 Pr 3.51
2 Pr 0.6276 0.6667 0.3333  3 Mg 3.36, 2 Pr 3.44, 6 Er 3.51-3.73
3 Mg 0.3109 0.3333 0.6667  3 Er 3.29, 3 Pr 3.36, 2 Mg 3.44


R | Below is a relaxed PrErMg crystal, with properties calculated at the PBE-GGA level.

Properties
Crystal system: orthorhombic
Space group: Pmma

Cell lengths 5.5123, 3.4571, 11.0137 Å; angles 90.00, 59.97, 90.00 degrees
Closest atoms and distances in Å follow each position.
Positions (direct):
1 Pr 0.5529 0.1425 0.5882  4 Pr 3.11-3.46, 1 Mg 3.27
2 Pr 0.9011 0.1424 0.7401  4 Pr 3.11-3.46, 1 Mg 3.27
3 Er 0.2102 0.6421 0.9310  2 Er 3.46, 6 Mg 3.46-3.56, 6 Pr 3.70-3.73
4 Er 0.2438 0.6421 0.3974  2 Er 3.46, 6 Mg 3.46-3.56, 6 Pr 3.70-3.73
5 Mg 0.5580 0.1417 0.0831  4 Mg 3.16-3.46, 1 Pr 3.27, 2 Er 3.46
6 Mg 0.8956 0.1413 0.2454  4 Mg 3.16-3.46, 1 Pr 3.27, 2 Er 3.46


Which of them is the most stable, and which is the least stable? P and Q, in that order.


P | Below is a relaxed PrErMg4 crystal, with properties calculated at the PBE-GGA level.

Properties
Crystal system: cubic
Space group: F-43m

Cell lengths 6.0812, 6.0812, 6.0812 Å; angles 60.00, 60.00, 60.00 degrees
Closest atoms and distances in Å follow each position.
Positions (direct):
1 Er 0.0000 0.0000 0.0000  12 Mg 3.56, 4 Pr 3.72
2 Pr 0.2500 0.2500 0.2500  12 Mg 3.57, 4 Er 3.72
3 Mg 0.1245 0.6252 0.6252  6 Mg 3.04
4 Mg 0.6252 0.1245 0.6252  6 Mg 3.04
5 Mg 0.6252 0.6252 0.1245  6 Mg 3.04
6 Mg 0.6252 0.6252 0.6252  6 Mg 3.04


Q | Below is a relaxed PrErMg4 crystal, with properties calculated at the PBE-GGA level.

Properties
Crystal system: monoclinic
Space group: C2/m

Cell lengths 3.4260, 7.1744, 8.6807 Å; angles 122.80, 78.62, 76.19 degrees
Closest atoms and distances in Å follow each position.
Positions (direct):
1 Mg 0.3308 0.9948 0.3435  7 Mg 3.13-3.43, 2 Er 3.36, 2 Pr 3.41
2 Mg 0.1546 0.5233 0.1676  7 Mg 3.14-3.43, 2 Er 3.40, 2 Pr 3.44
3 Mg 0.8454 0.4767 0.8324  7 Mg 3.14-3.43, 2 Er 3.40, 2 Pr 3.44
4 Mg 0.6692 0.0052 0.6565  7 Mg 3.13-3.43, 2 Er 3.36, 2 Pr 3.41
5 Pr 0.0000 0.0000 0.0000  8 Mg 3.41-3.44, 2 Pr 3.43, 2 Er 3.45
6 Er 0.5000 0.5000 0.5000  8 Mg 3.36-3.40, 2 Er 3.43, 2 Pr 3.45


R | Below is a relaxed PrErMg4 crystal, with properties calculated at the PBE-GGA level.

Properties
Crystal system: orthorhombic
Space group: Immm

Cell lengths 5.2667, 6.2419, 6.2445 Å; angles 94.29, 65.06, 65.05 degrees
Closest atoms and distances in Å follow each position.
Positions (direct):
1 Mg 0.2516 0.4147 0.0821  5 Mg 3.04-3.35
2 Mg 0.7484 0.9179 0.5853  5 Mg 3.04-3.35
3 Mg 0.7484 0.5853 0.9179  5 Mg 3.04-3.35
4 Mg 0.2516 0.0821 0.4147  5 Mg 3.04-3.35
5 Er 0.0000 0.0000 0.0000  2 Pr 3.33, 12 Mg 3.46-3.49
6 Pr 0.5000 0.5000 0.5000  2 Er 3.33, 12 Mg 3.47


Which of them is the most stable, and which is the least stable? P and Q, in that order.


P | Below is a relaxed Pr2Er2Mg crystal, with properties calculated at the PBE-GGA level.

Properties
Crystal system: tetragonal
Space group: I4/mmm

Cell lengths 3.6153, 7.2502, 13.3377 Å; angles 114.08, 97.79, 90.00 degrees
Closest atoms and distances in Å follow each position.
Positions (direct):
1 Er 0.1996 0.0497 0.3993  8 Er 3.52-3.63, 4 Pr 3.59
2 Er 0.1997 0.5497 0.3993  8 Er 3.52-3.63, 4 Pr 3.59
3 Er 0.8003 0.4503 0.6007  8 Er 3.52-3.63, 4 Pr 3.59
4 Er 0.8004 0.9503 0.6007  8 Er 3.52-3.63, 4 Pr 3.59
5 Pr 0.5948 0.6431 0.1904  4 Mg 3.43-3.44, 4 Er 3.59, 4 Pr 3.62-3.63
6 Pr 0.4045 0.8569 0.8096  4 Mg 3.43-3.44, 4 Er 3.59, 4 Pr 3.62-3.63
7 Pr 0.5955 0.1431 0.1904  4 Mg 3.43-3.44, 4 Er 3.59, 4 Pr 3.62-3.63
8 Pr 0.4052 0.3569 0.8096  4 Mg 3.43-3.44, 4 Er 3.59, 4 Pr 3.62-3.63
9 Mg 0.0000 0.7500 0.0000  8 Pr 3.43-3.44, 4 Mg 3.62-3.63
10 Mg 0.0000 0.2500 0.0000  8 Pr 3.43-3.44, 4 Mg 3.62-3.63


Q | Below is a relaxed Pr2Er2Mg crystal, with properties calculated at the PBE-GGA level.

Properties
Crystal system: tetragonal
Space group: I4/mmm

Cell lengths 4.4101, 4.4101, 9.4224 Å; angles 103.53, 103.53, 90.00 degrees
Closest atoms and distances in Å follow each position.
Positions (direct):
1 Mg 0.0000 0.0000 0.0000  8 Pr 3.53
2 Pr 0.5928 0.5928 0.1856  1 Pr 3.30, 4 Mg 3.53, 4 Er 3.56
3 Pr 0.4072 0.4072 0.8144  1 Pr 3.30, 4 Mg 3.53, 4 Er 3.56
4 Er 0.2500 0.7500 0.5000  4 Er 3.12
5 Er 0.7500 0.2500 0.5000  4 Er 3.12


Which of them is the most stable, and which is the least stable? P and Q, in that order.


P | Below is a relaxed Pr8Er2Mg crystal, with properties calculated at the PBE-GGA level.

Properties
Crystal system: orthorhombic
Space group: Amm2

Cell lengths 5.5338, 10.5336, 8.5277 Å; angles 51.86, 90.00, 90.00 degrees
Closest atoms and distances in Å follow each position.
Positions (direct):
1 Er 0.5000 0.3767 0.2406  1 Er 3.23, 4 Pr 3.25-3.54
2 Er 0.5000 0.6172 0.7594  1 Er 3.23, 4 Pr 3.25-3.54
3 Pr 0.0000 0.7439 0.5062  2 Er 3.25, 1 Mg 3.40, 4 Pr 3.61
4 Pr 0.5001 0.2994 0.7243  7 Pr 3.47-3.79, 2 Er 3.54-3.68, 2 Mg 3.76
5 Pr 0.4999 0.6946 0.2757  7 Pr 3.47-3.79, 2 Er 3.54-3.68, 2 Mg 3.75
6 Pr 0.5001 0.0237 0.2757  7 Pr 3.47-3.79, 2 Er 3.54-3.68, 2 Mg 3.75-3.76
7 Pr 0.0000 0.3331 0.0000  7 Pr 3.45-3.79, 1 Mg 3.55, 4 Er 3.64
8 Pr 0.0000 0.2502 0.4938  2 Er 3.25, 1 Mg 3.40, 4 Pr 3.61
9 Pr 0.4999 0.9703 0.7244  7 Pr 3.47-3.79, 2 Er 3.54-3.68, 2 Mg 3.75
10 Pr 0.0000 0.6606 0.0000  7 Pr 3.45-3.79, 1 Mg 3.54, 4 Er 3.64
11 Mg 0.0000 0.9964 0.0000  12 Pr 3.40-3.76


Q | Below is a relaxed Pr8Er2Mg crystal, with properties calculated at the PBE-GGA level.

Properties
Crystal system: monoclinic
Space group: C2/m

Cell lengths 5.1585, 8.1459, 9.5971 Å; angles 104.81, 105.59, 90.00 degrees
Closest atoms and distances in Å follow each position.
Positions (direct):
1 Pr 0.0460 0.7245 0.0921  1 Er 3.59, 9 Pr 3.60-3.68, 2 Mg 3.66
2 Pr 0.1376 0.1840 0.2752  3 Er 3.59-3.64, 7 Pr 3.61-3.68, 2 Mg 3.65
3 Pr 0.8624 0.8160 0.7248  3 Er 3.59-3.64, 7 Pr 3.61-3.68, 2 Mg 3.65
4 Pr 0.6812 0.9101 0.3623  1 Mg 3.61, 8 Pr 3.63-3.68, 3 Er 3.66
5 Pr 0.5920 0.4494 0.1839  1 Mg 3.60, 8 Pr 3.61-3.71, 3 Er 3.61
6 Pr 0.3188 0.0899 0.6377  1 Mg 3.61, 8 Pr 3.63-3.68, 3 Er 3.66
7 Pr 0.4080 0.5506 0.8161  1 Mg 3.60, 8 Pr 3.61-3.71, 3 Er 3.61
8 Pr 0.9540 0.2755 0.9079  1 Er 3.59, 9 Pr 3.60-3.68, 2 Mg 3.66
9 Mg 0.5000 0.0000 0.0000  12 Pr 3.60-3.66
10 Er 0.7743 0.3662 0.5485  10 Pr 3.59-3.66, 2 Er 3.64
11 Er 0.2257 0.6338 0.4515  10 Pr 3.59-3.66, 2 Er 3.64


Which of them is the most stable, and which is the least stable? Q and P, in that order.


P | Below is a relaxed PrEr4Mg crystal, with properties calculated at the PBE-GGA level.

Properties
Crystal system: orthorhombic
Space group: Cmc2_1

Cell lengths 5.4156, 11.1006, 6.6341 Å; angles 90.00, 114.09, 90.00 degrees
Closest atoms and distances in Å follow each position.
Positions (direct):
1 Mg 0.3476 0.1904 0.6952  7 Er 3.15-3.39, 1 Pr 3.25
2 Mg 0.6524 0.6904 0.3048  7 Er 3.15-3.39, 1 Pr 3.25
3 Er 0.9792 0.2046 0.9585  2 Mg 3.15, 1 Pr 3.38, 1 Er 3.42
4 Er 0.6794 0.1996 0.3587  2 Mg 3.39, 8 Er 3.49-3.66, 3 Pr 3.57-3.63
5 Er 0.3206 0.6996 0.6413  2 Mg 3.39, 8 Er 3.49-3.66, 3 Pr 3.57-3.63
6 Er 0.4956 0.4423 0.9912  2 Mg 3.32-3.35, 4 Er 3.40-3.56, 2 Pr 3.51
7 Er 0.5044 0.9423 0.0088  2 Mg 3.32-3.35, 4 Er 3.40-3.56, 2 Pr 3.51
8 Er 0.0208 0.7046 0.0415  2 Mg 3.15, 1 Pr 3.38, 1 Er 3.42
9 Er 0.8294 0.4786 0.6588  1 Mg 3.18, 2 Pr 3.34, 4 Er 3.40-3.54
10 Er 0.1706 0.9786 0.3412  1 Mg 3.18, 2 Pr 3.34, 4 Er 3.40-3.54
11 Pr 0.1782 0.4179 0.3563  1 Mg 3.25, 8 Er 3.34-3.63
12 Pr 0.8218 0.9179 0.6437  1 Mg 3.25, 8 Er 3.34-3.63


Q | Below is a relaxed PrEr4Mg crystal, with properties calculated at the PBE-GGA level.

Properties
Crystal system: tetragonal
Space group: P4/mmm

Cell lengths 3.5827, 3.5827, 14.1874 Å; angles 90.00, 90.00, 90.00 degrees
Closest atoms and distances in Å follow each position.
Positions (direct):
1 Er 0.5000 0.5000 0.8199  8 Er 3.49-3.58, 4 Pr 3.60
2 Er 0.0000 0.0000 0.3497  4 Mg 3.31, 8 Er 3.49-3.58
3 Er 0.0000 0.0000 0.6503  4 Mg 3.31, 8 Er 3.49-3.58
4 Er 0.5000 0.5000 0.1801  8 Er 3.49-3.58, 4 Pr 3.60
5 Mg 0.5000 0.5000 0.5000  8 Er 3.31, 4 Mg 3.58
6 Pr 0.0000 0.0000 0.0000  4 Pr 3.58, 8 Er 3.60


Which of them is the most stable, and which is the least stable? Q and P, in that order.